No. 1
A plane-wave DFT calculation with PBE was carried out for a geometry-optimized Ca3CdPt3 structure.

Unit cell a=4.4179 b=10.3655 c=14.2071 alpha=90.00 beta=90.00 gamma=90.00
Space group Cmcm (No. 63)
Symmetry-distinct sites (fractional):
1 Ca 0.0000 0.0197 0.2500 (multiplicity 4)
2 Ca 0.0000 0.3001 0.1057 (multiplicity 8)
3 Cd 0.0000 0.0000 0.0000 (multiplicity 4)
4 Pt 0.0000 0.2700 0.7500 (multiplicity 4)
5 Pt 0.0000 0.4055 0.5918 (multiplicity 8)

Calculated values
**M_tot**: 0.0 μB/f.u.
**Fermi-level density of states**: 8.70 states/eV per cell
**Energy relative to the elements**: -5.90 eV/f.u.
**V**: 23.2 Å³/atom

***

No. 2
A plane-wave DFT calculation with PBE was carried out for a geometry-optimized Pm2MnOsN5 structure.

Unit cell a=3.2815 b=14.3443 c=9.5502 alpha=90.00 beta=90.00 gamma=90.00
Space group Cmc2_1 (No. 36)
Symmetry-distinct sites (fractional):
1 Pm 0.0000 0.1145 0.0000 (multiplicity 4)
2 Pm 0.0000 0.1321 0.3779 (multiplicity 4)
3 Mn 0.0000 0.2195 0.6901 (multiplicity 4)
4 Os 0.0000 0.4266 0.1732 (multiplicity 4)
5 N 0.0000 0.0231 0.7433 (multiplicity 4)
6 N 0.0000 0.3024 0.0617 (multiplicity 4)
7 N 0.0000 0.3110 0.3222 (multiplicity 4)
8 N 0.0000 0.3467 0.6877 (multiplicity 4)
9 N 0.0000 0.4824 0.9887 (multiplicity 4)

Calculated values
**M_tot**: 2.6 μB/f.u.
**ΔE_f (raw)**: -527 meV per atom
**Fermi-level density of states**: 14.52 states/eV per cell
**V**: 12.5 Å³/atom

***

No. 3
A plane-wave DFT calculation with PBE was carried out for a geometry-optimized HgTe2Pb structure.

Unit cell a=12.7087 b=4.0741 c=5.0783 alpha=90.00 beta=113.39 gamma=90.00
Space group C2/m (No. 12)
Symmetry-distinct sites (fractional):
1 Hg 0.0000 0.0000 0.0000 (multiplicity 2)
2 Te 0.2372 0.0000 0.7370 (multiplicity 4)
3 Pb 0.0000 0.5000 0.5000 (multiplicity 2)

Calculated values
**M_tot**: 0.0 μB/f.u.
**ΔE_f (raw)**: 15 meV per atom
**Fermi-level density of states**: 3.94 states/eV per cell
**V**: 30.2 Å³/atom

***

No. 4
A plane-wave DFT calculation with PBE was carried out for a geometry-optimized BaLaIn structure.

Unit cell a=6.1116 b=3.9535 c=9.9321 alpha=90.00 beta=107.80 gamma=90.00
Space group Pm (No. 6)
Symmetry-distinct sites (fractional):
1 Ba 0.0000 0.0000 0.0000 (multiplicity 1)
2 Ba 0.3717 0.0000 0.7412 (multiplicity 1)
3 La 0.2967 0.5000 0.3708 (multiplicity 1)
4 La 0.7655 0.0000 0.3695 (multiplicity 1)
5 In 0.5370 0.5000 0.0871 (multiplicity 1)
6 In 0.8229 0.5000 0.6528 (multiplicity 1)

Calculated values
**M_tot**: 0.0 μB/f.u.
**Energy relative to the lowest polymorph listed for this composition**: 65 meV per atom
**Fermi-level density of states**: 7.29 states/eV per cell
**Energy relative to the elements**: -0.77 eV/f.u.
**V**: 38.1 Å³/atom